(1)
## PaTi2NiP4 (PBE)

Data for a geometry-optimized PaTi2NiP4 structure.

Results
The energy of formation from the pure elements comes out at -1.01 eV per atom. As for the spin magnetization: 0.00 μB/f.u.

The structure in CIF format:
```
data_PaTi2NiP4
_symmetry_space_group_name_H-M 'P 1'
_symmetry_Int_Tables_number 1
_cell_length_a 3.682
_cell_length_b 6.224
_cell_length_c 12.238
_cell_angle_alpha 90.00
_cell_angle_beta 90.00
_cell_angle_gamma 107.20
loop_
_symmetry_equiv_pos_as_xyz
'x,y,z'
loop_
_atom_site_label
_atom_site_fract_x
_atom_site_fract_y
_atom_site_fract_z
Pa1 0.119 0.238 0.750
Pa2 0.881 0.762 0.250
Ti1 0.370 0.741 0.561
Ti2 0.630 0.259 0.061
Ti3 0.630 0.259 0.439
Ti4 0.370 0.741 0.939
Ni1 0.853 0.705 0.750
Ni2 0.147 0.295 0.250
P1 0.271 0.542 0.117
P2 0.729 0.458 0.617
P3 0.729 0.458 0.883
P4 0.271 0.542 0.383
P5 0.000 0.000 0.500
P6 0.000 0.000 0.000
P7 0.451 0.901 0.750
P8 0.549 0.099 0.250
```

(2)
## Ta2Mo8W3 (PBE)

Data for a geometry-optimized Ta2Mo8W3 structure.

Results
The energy of formation from the pure elements comes out at 0.55 eV per atom. As for the spin magnetization: 0.00 μB/f.u.

The structure in CIF format:
```
data_Ta2Mo8W3
_symmetry_space_group_name_H-M 'P 1'
_symmetry_Int_Tables_number 1
_cell_length_a 5.271
_cell_length_b 6.782
_cell_length_c 7.218
_cell_angle_alpha 118.02
_cell_angle_beta 91.24
_cell_angle_gamma 90.00
loop_
_symmetry_equiv_pos_as_xyz
'x,y,z'
loop_
_atom_site_label
_atom_site_fract_x
_atom_site_fract_y
_atom_site_fract_z
Ta1 0.237 0.191 0.381
Ta2 0.763 0.809 0.619
Mo1 0.022 0.622 0.245
Mo2 0.978 0.378 0.755
Mo3 0.755 0.195 0.391
Mo4 0.245 0.805 0.609
Mo5 0.480 0.563 0.766
Mo6 0.480 0.204 0.766
Mo7 0.520 0.796 0.234
Mo8 0.520 0.437 0.234
W1 0.500 0.000 0.000
W2 0.000 0.196 0.000
W3 0.000 0.804 0.000
```

(3)
## LaReHg2 (PBE)

Data for a geometry-optimized LaReHg2 structure.

Results
The excess energy over the best structure of this formula in the dataset is 85 kJ/mol of formula units. The energy of formation from the pure elements comes out at 0.55 eV per atom. As for the spin magnetization: 0.00 μB/f.u.

The structure in CIF format:
```
data_LaReHg2
_symmetry_space_group_name_H-M 'P 1'
_symmetry_Int_Tables_number 1
_cell_length_a 9.785
_cell_length_b 9.785
_cell_length_c 9.785
_cell_angle_alpha 20.14
_cell_angle_beta 20.14
_cell_angle_gamma 20.14
loop_
_symmetry_equiv_pos_as_xyz
'x,y,z'
loop_
_atom_site_label
_atom_site_fract_x
_atom_site_fract_y
_atom_site_fract_z
Hg1 0.008 0.008 0.008
Hg2 0.255 0.255 0.255
La1 0.488 0.488 0.488
Re1 0.749 0.749 0.749
```

(4)
## TaTcMo2 (PBE)

Data for a geometry-optimized TaTcMo2 structure.

Results
The excess energy over the best structure of this formula in the dataset is 144 kJ/mol of formula units. The energy of formation from the pure elements comes out at 0.20 eV per atom. As for the spin magnetization: 0.00 μB/f.u.

The structure in CIF format:
```
data_TaTcMo2
_symmetry_space_group_name_H-M 'P 1'
_symmetry_Int_Tables_number 1
_cell_length_a 5.200
_cell_length_b 5.200
_cell_length_c 2.791
_cell_angle_alpha 90.00
_cell_angle_beta 90.00
_cell_angle_gamma 119.85
loop_
_symmetry_equiv_pos_as_xyz
'x,y,z'
loop_
_atom_site_label
_atom_site_fract_x
_atom_site_fract_y
_atom_site_fract_z
Mo1 0.000 0.000 0.000
Mo2 0.500 0.500 0.000
Ta1 0.500 0.000 0.500
Tc1 0.000 0.500 0.500
```

(5)
## TaIn2P (PBE)

Data for a geometry-optimized TaIn2P structure.

Results
The energy of formation from the pure elements comes out at 0.32 eV per atom. As for the spin magnetization: 0.00 μB/f.u.

The structure in CIF format:
```
data_TaIn2P
_symmetry_space_group_name_H-M 'P 1'
_symmetry_Int_Tables_number 1
_cell_length_a 3.876
_cell_length_b 3.879
_cell_length_c 5.311
_cell_angle_alpha 90.00
_cell_angle_beta 90.00
_cell_angle_gamma 90.00
loop_
_symmetry_equiv_pos_as_xyz
'x,y,z'
loop_
_atom_site_label
_atom_site_fract_x
_atom_site_fract_y
_atom_site_fract_z
In1 0.000 0.000 0.000
In2 0.000 0.000 0.500
P1 0.500 0.500 0.250
Ta1 0.500 0.500 0.750
```

(6)
## Sr2UCo (PBE)

Data for a geometry-optimized Sr2UCo structure.

Results
The energy of formation from the pure elements comes out at 1.29 eV per atom. As for the spin magnetization: 3.06 μB/f.u.

The structure in CIF format:
```
data_Sr2UCo
_symmetry_space_group_name_H-M 'P 1'
_symmetry_Int_Tables_number 1
_cell_length_a 5.534
_cell_length_b 5.534
_cell_length_c 5.534
_cell_angle_alpha 60.00
_cell_angle_beta 60.00
_cell_angle_gamma 60.00
loop_
_symmetry_equiv_pos_as_xyz
'x,y,z'
loop_
_atom_site_label
_atom_site_fract_x
_atom_site_fract_y
_atom_site_fract_z
Sr1 0.750 0.750 0.750
Sr2 0.250 0.250 0.250
U1 0.000 0.000 0.000
Co1 0.500 0.500 0.500
```

(7)
## LaZr2Cl (PBE)

Data for a geometry-optimized LaZr2Cl structure.

Results
The excess energy over the best structure of this formula in the dataset is 122 kJ/mol of formula units. The formation energy (no corrections) comes out at -0.069 eV/atom. As for the spin magnetization: 0.00 μB/f.u.

The structure in CIF format:
```
data_LaZr2Cl
_symmetry_space_group_name_H-M 'P 1'
_symmetry_Int_Tables_number 1
_cell_length_a 3.209
_cell_length_b 3.209
_cell_length_c 9.247
_cell_angle_alpha 90.00
_cell_angle_beta 90.00
_cell_angle_gamma 90.00
loop_
_symmetry_equiv_pos_as_xyz
'x,y,z'
loop_
_atom_site_label
_atom_site_fract_x
_atom_site_fract_y
_atom_site_fract_z
Cl1 0.500 0.500 0.250
La1 0.500 0.500 0.750
Zr1 0.000 0.000 0.051
Zr2 0.000 0.000 0.449
```

(8)
## Hf2Zr2Mn (PBE)

Data for a geometry-optimized Hf2Zr2Mn structure.

Results
The excess energy over the best structure of this formula in the dataset is 21 kJ/mol of formula units. The energy of formation from the pure elements comes out at 0.25 eV per atom. As for the spin magnetization: 0.00 μB/f.u.

The structure in CIF format:
```
data_Hf2Zr2Mn
_symmetry_space_group_name_H-M 'P 1'
_symmetry_Int_Tables_number 1
_cell_length_a 6.476
_cell_length_b 6.476
_cell_length_c 5.016
_cell_angle_alpha 90.00
_cell_angle_beta 90.00
_cell_angle_gamma 90.00
loop_
_symmetry_equiv_pos_as_xyz
'x,y,z'
loop_
_atom_site_label
_atom_site_fract_x
_atom_site_fract_y
_atom_site_fract_z
Mn1 0.000 0.000 0.000
Mn2 0.500 0.500 0.000
Hf1 0.162 0.662 0.500
Hf2 0.662 0.838 0.500
Hf3 0.838 0.338 0.500
Hf4 0.338 0.162 0.500
Zr1 0.343 0.843 0.000
Zr2 0.843 0.657 0.000
Zr3 0.657 0.157 0.000
Zr4 0.157 0.343 0.000
```

(9)
## AgAsRhSe2 (PBE)

Data for a geometry-optimized AgAsRhSe2 structure.

Results
The excess energy over the best structure of this formula in the dataset is 0 kJ/mol of formula units. The formation energy (no corrections) comes out at 0.424 eV/atom. As for the spin magnetization: 0.00 μB/f.u.

The structure in CIF format:
```
data_AgAsRhSe2
_symmetry_space_group_name_H-M 'P 1'
_symmetry_Int_Tables_number 1
_cell_length_a 5.094
_cell_length_b 5.094
_cell_length_c 4.558
_cell_angle_alpha 90.00
_cell_angle_beta 90.00
_cell_angle_gamma 90.00
loop_
_symmetry_equiv_pos_as_xyz
'x,y,z'
loop_
_atom_site_label
_atom_site_fract_x
_atom_site_fract_y
_atom_site_fract_z
As1 0.000 0.000 0.500
Rh1 0.000 0.000 0.000
Se1 0.000 0.500 0.000
Se2 0.500 0.000 0.000
Ag1 0.500 0.500 0.500
```

(10)
## CsNa10Li2 (PBE)

Data for a geometry-optimized CsNa10Li2 structure.

Results
The energy of formation from the pure elements comes out at 0.04 eV per atom. As for the spin magnetization: 0.00 μB/f.u.

The structure in CIF format:
```
data_CsNa10Li2
_symmetry_space_group_name_H-M 'P 1'
_symmetry_Int_Tables_number 1
_cell_length_a 9.287
_cell_length_b 9.287
_cell_length_c 11.878
_cell_angle_alpha 90.00
_cell_angle_beta 90.00
_cell_angle_gamma 97.99
loop_
_symmetry_equiv_pos_as_xyz
'x,y,z'
loop_
_atom_site_label
_atom_site_fract_x
_atom_site_fract_y
_atom_site_fract_z
Cs1 0.883 0.117 0.750
Cs2 0.117 0.883 0.250
Na1 0.401 0.120 0.750
Na2 0.599 0.880 0.250
Na3 0.880 0.599 0.750
Na4 0.120 0.401 0.250
Na5 0.524 0.761 0.750
Na6 0.476 0.239 0.250
Na7 0.239 0.476 0.750
Na8 0.761 0.524 0.250
Na9 0.826 0.174 0.402
Na10 0.174 0.826 0.902
Na11 0.826 0.174 0.098
Na12 0.174 0.826 0.598
Na13 0.611 0.389 0.933
Na14 0.389 0.611 0.433
Na15 0.611 0.389 0.567
Na16 0.389 0.611 0.067
Na17 0.772 0.772 0.000
Na18 0.228 0.228 0.500
Na19 0.228 0.228 0.000
Na20 0.772 0.772 0.500
Li1 0.500 0.000 0.000
Li2 0.500 0.000 0.500
Li3 0.000 0.500 0.500
Li4 0.000 0.500 0.000
```

(11)
## Pm12PuPb7 (PBE)

Data for a geometry-optimized Pm12PuPb7 structure.

Results
The energy of formation from the pure elements comes out at -0.25 eV per atom. As for the spin magnetization: 6.24 μB/f.u.

The structure in CIF format:
```
data_Pm12PuPb7
_symmetry_space_group_name_H-M 'P 1'
_symmetry_Int_Tables_number 1
_cell_length_a 9.649
_cell_length_b 9.649
_cell_length_c 9.649
_cell_angle_alpha 110.78
_cell_angle_beta 110.78
_cell_angle_gamma 110.78
loop_
_symmetry_equiv_pos_as_xyz
'x,y,z'
loop_
_atom_site_label
_atom_site_fract_x
_atom_site_fract_y
_atom_site_fract_z
Pm1 0.000 0.275 0.725
Pm2 0.725 0.275 0.000
Pm3 0.495 0.161 0.495
Pm4 0.839 0.505 0.505
Pm5 0.275 0.000 0.725
Pm6 0.505 0.505 0.839
Pm7 0.495 0.495 0.161
Pm8 0.725 0.000 0.275
Pm9 0.161 0.495 0.495
Pm10 0.505 0.839 0.505
Pm11 0.275 0.725 0.000
Pm12 0.000 0.725 0.275
Pu1 0.000 0.000 0.000
Pb1 0.863 0.552 0.863
Pb2 0.448 0.137 0.137
Pb3 0.137 0.137 0.448
Pb4 0.500 0.500 0.500
Pb5 0.863 0.863 0.552
Pb6 0.552 0.863 0.863
Pb7 0.137 0.448 0.137
```

(12)
## Mg2ZrH (PBE)

Data for a geometry-optimized Mg2ZrH structure.

Results
The excess energy over the best structure of this formula in the dataset is 0 kJ/mol of formula units. As for the spin magnetization: 1.63 μB/f.u.

The structure in CIF format:
```
data_Mg2ZrH
_symmetry_space_group_name_H-M 'P 1'
_symmetry_Int_Tables_number 1
_cell_length_a 5.892
_cell_length_b 5.892
_cell_length_c 5.894
_cell_angle_alpha 60.01
_cell_angle_beta 60.01
_cell_angle_gamma 90.00
loop_
_symmetry_equiv_pos_as_xyz
'x,y,z'
loop_
_atom_site_label
_atom_site_fract_x
_atom_site_fract_y
_atom_site_fract_z
H1 0.500 0.500 0.000
H2 0.250 0.750 0.500
Mg1 0.375 0.125 0.250
Mg2 0.375 0.625 0.250
Mg3 0.375 0.625 0.750
Mg4 0.875 0.625 0.750
Zr1 0.000 0.000 0.000
Zr2 0.750 0.250 0.500
```

Raw total energy, respectively: -7.595; -10.926; -3.946; -10.775; -5.365; -4.151; -6.037; -8.984; -3.940; -1.334; -5.111; -3.522 eV per atom.